# Sr2MgGa2 (GGA-PBE, relaxed)
# * mass density: 3.83 g cm⁻³
# * spin magnetization: 0.00 μB per cell
# * DOS at the Fermi energy: 16.93 states/eV per cell
# * crystal system: monoclinic
# * ΔE_f: -345 meV/atom
data_Sr2MgGa2
_chemical_formula_sum 'Sr8 Mg4 Ga8'
_space_group_name_H-M_alt 'C 1 2/m 1'
_space_group_IT_number 12
_cell_length_a 12.116
_cell_length_b 4.743
_cell_length_c 11.679
_cell_angle_alpha 90.00
_cell_angle_beta 118.95
_cell_angle_gamma 90.00
loop_
_space_group_symop_operation_xyz
'x,y,z'
'-x,-y,-z'
'-x,y,-z'
'x,-y,z'
'x+1/2,y+1/2,z'
'-x+1/2,-y+1/2,-z'
'-x+1/2,y+1/2,-z'
'x+1/2,-y+1/2,z'
loop_
_atom_site_label
_atom_site_fract_x
_atom_site_fract_y
_atom_site_fract_z
Sr1 0.006 0.000 0.181
Sr2 0.188 0.000 0.609
Mg1 0.225 0.500 0.876
Ga1 0.013 0.500 0.392
Ga2 0.125 0.500 0.060

***

# Sr2MgGa7 (GGA-PBE, relaxed)
# * mass density: 5.14 g cm⁻³
# * spin magnetization: 0.00 μB per cell
# * DOS at the Fermi energy: 3.79 states/eV per cell
# * crystal system: tetragonal
# * ΔE_f: -408 meV/atom
data_Sr2MgGa7
_chemical_formula_sum 'Sr2 Mg1 Ga7'
_space_group_name_H-M_alt 'P -4 m 2'
_space_group_IT_number 115
_cell_length_a 4.434
_cell_length_b 4.434
_cell_length_c 11.298
_cell_angle_alpha 90.00
_cell_angle_beta 90.00
_cell_angle_gamma 90.00
loop_
_space_group_symop_operation_xyz
'x,y,z'
'y,-x,-z'
'-x,-y,z'
'-y,x,-z'
'-x,y,z'
'-y,-x,-z'
'x,-y,z'
'y,x,-z'
loop_
_atom_site_label
_atom_site_fract_x
_atom_site_fract_y
_atom_site_fract_z
Sr1 0.000 0.500 0.243
Mg1 0.000 0.000 0.500
Ga1 0.000 0.000 0.000
Ga2 0.000 0.500 0.641
Ga3 0.000 0.500 0.868
Ga4 0.500 0.500 0.000
Ga5 0.500 0.500 0.500

***

# SrMgGa2 (GGA-PBE, relaxed)
# * mass density: 4.20 g cm⁻³
# * spin magnetization: 0.00 μB per cell
# * DOS at the Fermi energy: 1.99 states/eV per cell
# * crystal system: tetragonal
# * ΔE_f: -192 meV/atom
data_SrMgGa2
_chemical_formula_sum 'Sr1 Mg1 Ga2'
_space_group_name_H-M_alt 'P 4/m m m'
_space_group_IT_number 123
_space_group_name_Hall '-P 4 2'
_cell_length_a 4.901
_cell_length_b 4.901
_cell_length_c 4.137
_cell_angle_alpha 90.00
_cell_angle_beta 90.00
_cell_angle_gamma 90.00
loop_
_atom_site_label
_atom_site_fract_x
_atom_site_fract_y
_atom_site_fract_z
Sr1 0.000 0.000 0.000
Mg1 0.500 0.500 0.000
Ga1 0.000 0.500 0.500

***

# SrMg6Ga4 (GGA-PBE, relaxed)
# * mass density: 3.48 g cm⁻³
# * spin magnetization: 0.00 μB per cell
# * DOS at the Fermi energy: 4.16 states/eV per cell
# * crystal system: hexagonal
# * ΔE_f: -218 meV/atom
data_SrMg6Ga4
_chemical_formula_sum 'Sr1 Mg6 Ga4'
_space_group_name_H-M_alt 'P -6 m 2'
_space_group_IT_number 187
_space_group_name_Hall 'P -6 2'
_cell_length_a 7.9618
_cell_length_b 7.9618
_cell_length_c 4.4569
_cell_angle_alpha 90.00
_cell_angle_beta 90.00
_cell_angle_gamma 120.00
loop_
_atom_site_label
_atom_site_fract_x
_atom_site_fract_y
_atom_site_fract_z
Sr1 0.0000 0.0000 0.0000
Mg1 0.2048 0.4096 0.5000
Mg2 0.5330 0.0659 0.0000
Ga1 0.3333 0.6667 0.0000
Ga2 0.4110 0.2055 0.5000

***

# Sr2Mg2Ga (GGA-PBE, relaxed)
# * mass density: 2.49 g cm⁻³
# * spin magnetization: 0.00 μB per cell
# * DOS at the Fermi energy: 8.95 states/eV per cell
# * relative energy among the computed polymorphs: 607 meV/atom
# * crystal system: tetragonal
# * ΔE_f: 416 meV/atom
data_Sr2Mg2Ga
_chemical_formula_sum 'Sr4 Mg4 Ga2'
_space_group_name_H-M_alt 'I 4/m m m'
_space_group_IT_number 139
_space_group_name_Hall '-I 4 2'
_cell_length_a 5.183
_cell_length_b 5.183
_cell_length_c 14.556
_cell_angle_alpha 90.00
_cell_angle_beta 90.00
_cell_angle_gamma 90.00
loop_
_atom_site_label
_atom_site_fract_x
_atom_site_fract_y
_atom_site_fract_z
Sr1 0.000 0.500 0.250
Mg1 0.000 0.000 0.094
Ga1 0.000 0.000 0.500

***

# Sr2MgGa2 (GGA-PBE, relaxed)
# * mass density: 3.83 g cm⁻³
# * spin magnetization: 0.00 μB per cell
# * DOS at the Fermi energy: 15.04 states/eV per cell
# * crystal system: monoclinic
# * ΔE_f: -331 meV/atom
data_Sr2MgGa2
_chemical_formula_sum 'Sr8 Mg4 Ga8'
_space_group_name_H-M_alt 'C 1 2/c 1'
_space_group_IT_number 15
_cell_length_a 10.818
_cell_length_b 6.392
_cell_length_c 8.693
_cell_angle_alpha 90.00
_cell_angle_beta 102.27
_cell_angle_gamma 90.00
loop_
_space_group_symop_operation_xyz
'x,y,z'
'-x,-y,-z'
'-x,y,-z+1/2'
'x,-y,z+1/2'
'x+1/2,y+1/2,z'
'-x+1/2,-y+1/2,-z'
'-x+1/2,y+1/2,-z+1/2'
'x+1/2,-y+1/2,z+1/2'
loop_
_atom_site_label
_atom_site_fract_x
_atom_site_fract_y
_atom_site_fract_z
Sr1 0.148 0.141 0.147
Mg1 0.000 0.386 0.750
Ga1 0.141 0.349 0.502

***

# Sr5MgGa4 (GGA-PBE, relaxed)
# * mass density: 3.98 g cm⁻³
# * spin magnetization: 0.00 μB per cell
# * DOS at the Fermi energy: 7.81 states/eV per cell
# * crystal system: tetragonal
# * ΔE_f: -301 meV/atom
data_Sr5MgGa4
_chemical_formula_sum 'Sr5 Mg1 Ga4'
_space_group_name_H-M_alt 'P 4/m m m'
_space_group_IT_number 123
_space_group_name_Hall '-P 4 2'
_cell_length_a 3.937
_cell_length_b 3.937
_cell_length_c 19.970
_cell_angle_alpha 90.00
_cell_angle_beta 90.00
_cell_angle_gamma 90.00
loop_
_atom_site_label
_atom_site_fract_x
_atom_site_fract_y
_atom_site_fract_z
Sr1 0.000 0.000 0.000
Sr2 0.000 0.000 0.194
Sr3 0.000 0.000 0.383
Mg1 0.500 0.500 0.500
Ga1 0.500 0.500 0.098
Ga2 0.500 0.500 0.289

***

# Sr2Mg2Ga (GGA-PBE, relaxed)
# * mass density: 3.07 g cm⁻³
# * spin magnetization: 0.00 μB per cell
# * DOS at the Fermi energy: 9.53 states/eV per cell
# * relative energy among the computed polymorphs: 134 meV/atom
# * crystal system: tetragonal
# * ΔE_f: -58 meV/atom
data_Sr2Mg2Ga
_chemical_formula_sum 'Sr4 Mg4 Ga2'
_space_group_name_H-M_alt 'P 4/m b m'
_space_group_IT_number 127
_space_group_name_Hall '-P 4 2ab'
_cell_length_a 7.578
_cell_length_b 7.578
_cell_length_c 5.533
_cell_angle_alpha 90.00
_cell_angle_beta 90.00
_cell_angle_gamma 90.00
loop_
_atom_site_label
_atom_site_fract_x
_atom_site_fract_y
_atom_site_fract_z
Sr1 0.182 0.318 0.000
Mg1 0.138 0.638 0.500
Ga1 0.000 0.000 0.500